(1)
An optimized crystal structure of TiCdHg2, computed with PBE-GGA.

```
TiCdHg2
1.0
1.5896 0.9177 9.6321
-1.5896 0.9177 9.6321
0.0000 -1.8355 9.6321
Ti Cd Hg
1 1 2
Direct
0.0000 0.0000 0.0000
0.1668 0.1668 0.1668
0.4120 0.4120 0.4120
0.5880 0.5880 0.5880
```

Results
- ΔE_f (eV per atom) = 0.076
- total moment (μB/f.u.) = 0.4

(2)
An optimized crystal structure of Nd12Tm7Th, computed with PBE-GGA.

```
Nd12Tm7Th
1.0
9.8489 5.6863 2.0783
-9.8489 5.6863 2.0783
0.0000 -11.3725 2.0783
Nd Tm Th
12 7 1
Direct
0.0018 0.4135 0.5896
0.1054 0.1067 0.4590
0.1067 0.4590 0.1054
0.4104 0.9982 0.5865
0.4135 0.5896 0.0018
0.4590 0.1054 0.1067
0.5410 0.8946 0.8933
0.5865 0.4104 0.9982
0.5896 0.0018 0.4135
0.8933 0.5410 0.8946
0.8946 0.8933 0.5410
0.9982 0.5865 0.4104
0.0000 0.0000 0.0000
0.1053 0.3515 0.3506
0.3506 0.1053 0.3515
0.3515 0.3506 0.1053
0.6485 0.6494 0.8947
0.6494 0.8947 0.6485
0.8947 0.6485 0.6494
0.5000 0.5000 0.5000
```

Results
- ΔE_f (eV per atom) = 0.280
- total moment (μB/f.u.) = 0.0
- offset from the most stable computed form (meV/atom) = 54.6

(3)
An optimized crystal structure of ZnCo2Ru, computed with PBE-GGA.

```
ZnCo2Ru
1.0
1.3746 -2.1778 0.0000
1.3746 2.1778 0.0000
0.0000 0.0000 8.5255
Zn Co Ru
1 2 1
Direct
0.0000 0.0000 0.0000
0.5000 0.5000 0.2495
0.5000 0.5000 0.7505
0.0000 0.0000 0.5000
```

Results
- ΔE_f (eV per atom) = 0.231
- total moment (μB/f.u.) = 3.8